Entry 1:
12
Lattice="1.973 -6.661 0.000 1.973 6.661 0.000 0.000 0.000 10.390" Properties=species:S:1:pos:R:3 comment="GGA-PBE SrTmCuSeS2, optimized geometry" final_energy_ev_per_cell=-62.80 pbc="T T T"
Cu 1.973 -0.359 7.793
Se 1.973 5.518 2.598
Tm 0.000 0.000 0.000
S 1.973 1.728 0.724
S 1.973 -1.728 9.667
Sr 1.973 -3.512 2.598
Cu 1.973 0.359 2.598
S 1.973 -1.728 5.919
Se 1.973 -5.518 7.793
Tm 0.000 0.000 5.195
S 1.973 1.728 4.471
Sr 1.973 3.512 7.793

***

Entry 2:
12
Lattice="2.575 -4.181 0.000 2.575 4.181 0.000 0.000 0.000 8.031" Properties=species:S:1:pos:R:3 comment="GGA-PBE CoW, optimized geometry" final_energy_ev_per_cell=-113.58 ef_ev_per_atom=0.5683 pbc="T T T"
Co 2.575 -3.027 7.432
Co 2.575 -1.286 2.008
W 3.899 -0.921 6.024
W 1.250 0.921 2.008
Co 2.575 3.027 3.417
Co 2.575 1.286 6.024
W 3.899 0.921 2.008
W 1.250 -0.921 6.024
W 2.575 0.000 4.016
W 2.575 0.000 0.000
Co 2.575 3.027 0.599
Co 2.575 -3.027 4.615

***

Entry 3:
24
Lattice="11.026 0.000 0.000 0.000 3.820 0.000 0.000 0.000 13.628" Properties=species:S:1:pos:R:3 comment="GGA-PBE NaHfAgSe3, optimized geometry" final_energy_ev_per_cell=-121.33 pbc="T T T"
Hf 0.141 0.955 3.753
Se 8.612 2.865 8.777
Hf 5.372 2.865 10.567
Ag 8.377 0.955 10.630
Se 5.791 2.865 5.000
Ag 8.162 2.865 3.816
Se 2.414 0.955 4.851
Hf 5.654 0.955 3.061
Na 7.774 0.955 6.593
Hf 10.885 2.865 9.875
Ag 2.864 0.955 9.812
Se 7.927 0.955 1.963
Se 6.321 0.955 12.169
Se 10.218 2.865 5.354
Se 0.808 0.955 8.274
Na 3.252 2.865 7.035
Se 3.099 2.865 11.665
Na 8.765 2.865 13.407
Ag 2.649 2.865 2.998
Se 4.705 2.865 1.460
Se 0.278 2.865 1.814
Se 10.748 0.955 11.814
Se 5.235 0.955 8.629
Na 2.261 0.955 0.221

***

Entry 4:
9
Lattice="2.913 0.000 0.000 -1.457 2.523 0.000 0.000 0.000 29.762" Properties=species:S:1:pos:R:3 comment="GGA-PBE Tl2Pd7, optimized geometry" final_energy_ev_per_cell=-39.71 pbc="T T T"
Tl 1.457 0.841 23.864
Pd 1.457 0.841 10.539
Pd 0.000 1.682 12.713
Pd 0.000 0.000 21.433
Pd 0.000 1.682 19.223
Pd 0.000 0.000 8.329
Pd 0.000 0.000 14.881
Tl 0.000 1.682 5.897
Pd 1.457 0.841 17.049

***

Entry 5:
14
Lattice="-5.214 -0.129 8.072 -2.234 -3.109 8.815 9.239 8.912 -1.304" Properties=species:S:1:pos:R:3 comment="GGA-PBE Ba2Sb3W2, optimized geometry" final_energy_ev_per_cell=-86.63 pbc="T T T"
Sb 4.450 6.745 9.211
Ba 2.264 5.060 11.220
Sb 1.513 2.028 2.070
Sb -3.859 -0.048 15.287
Sb 5.649 5.722 0.297
Sb 0.278 3.646 13.514
W 7.548 7.379 -0.672
W 4.707 6.330 6.519
Ba 2.053 3.560 6.048
W -2.916 -0.656 9.065
Ba -0.262 2.114 9.535
Ba -0.474 0.614 4.363
W -5.758 -1.705 16.256
Sb -2.660 -1.071 6.373

***

Entry 6:
3
Lattice="0.000 3.291 3.291 3.291 0.000 3.291 3.291 3.291 0.000" Properties=species:S:1:pos:R:3 comment="GGA-PBE AcBeCu, optimized geometry" final_energy_ev_per_cell=-10.29 pbc="T T T"
Be 0.000 0.000 0.000
Cu 4.936 4.936 4.936
Ac 1.645 1.645 1.645

***

Entry 7:
88
Lattice="-3.093 -3.126 -6.789 7.248 -0.655 -3.000 3.046 -16.437 10.951" Properties=species:S:1:pos:R:3 comment="GGA-PBE CsAgBiH24C8Br7N2, optimized geometry" final_energy_ev_per_cell=-417.48 pbc="T T T"
H 2.601 -10.319 0.983
H 0.837 -12.654 -0.494
H 2.760 -11.048 -2.307
H 3.676 -7.612 2.012
C 7.216 -12.662 -0.140
Br 1.549 -16.970 2.484
C 7.434 -7.918 1.266
H 2.982 -14.843 -0.011
C 1.826 -12.486 -0.956
Br 1.760 -7.780 -3.994
H 6.447 -7.571 1.621
H 5.105 -12.291 -0.336
N -1.325 -6.909 -2.869
Br 5.514 -3.236 -1.265
H 7.321 -8.118 0.187
H 4.420 -8.183 -0.339
C 3.254 -6.371 -0.349
H 5.055 -13.242 4.401
H 1.065 -13.455 4.926
C 1.781 -11.246 -1.842
H 2.925 -6.472 -2.435
Cs 0.845 -18.801 5.742
Br 3.456 -15.725 5.841
Br 4.941 -17.445 0.703
H 1.888 -13.806 3.495
Br 4.294 -4.542 -4.906
Br 8.798 -12.741 3.767
H 4.362 -12.019 6.402
Br 6.643 -6.997 -2.674
C 5.358 -9.919 -5.332
H 0.917 -14.972 4.195
H 2.536 -12.340 -0.124
H 3.567 -5.000 -1.909
C 4.931 -8.663 -6.072
H -0.380 -7.184 -3.225
N 5.729 -13.055 5.189
H 4.556 -6.344 -2.019
H -0.899 -9.589 -2.695
C 3.390 -7.863 -0.107
H 6.678 -12.952 4.761
H 3.932 -5.797 0.297
H 2.962 -9.945 2.676
H 6.163 -14.297 0.828
H 2.227 -6.029 -0.159
H 5.285 -10.367 -1.946
Br 0.750 -4.012 -3.067
N 3.587 -6.023 -1.761
H 5.754 -13.892 5.794
H 4.612 -10.786 4.227
N 0.984 -13.957 4.012
H 1.495 -10.348 -1.275
Ag 4.223 -16.147 3.076
Bi 2.130 -14.669 8.159
Br 6.867 -16.243 4.057
H 7.099 -9.996 1.860
C 5.350 -11.833 5.959
H -0.203 -9.918 0.976
Br 3.901 -13.523 2.453
C 7.063 -14.129 0.221
Br 4.343 -19.169 4.146
H 6.280 -10.050 -0.516
H 4.144 -8.243 4.134
H 5.890 -12.820 -1.829
C 6.016 -12.168 -0.947
Bi 1.582 -5.234 -5.553
H -1.604 -6.050 -3.369
Br -0.620 -0.735 -1.544
H 0.688 -5.055 2.635
Cs 3.019 -1.115 -3.198
H 4.823 -12.134 -3.703
Br 1.948 -2.745 0.588
C 3.045 -8.218 1.339
H -0.255 -14.102 2.323
C 7.834 -9.190 2.004
C 5.320 -10.613 5.055
H 7.323 -12.064 0.780
H 5.473 -9.693 -4.258
H 2.726 -8.411 -0.797
H 3.961 -8.300 -5.705
H 2.002 -7.918 1.538
H 1.562 -8.909 4.661
H 0.897 -11.864 2.281
H -1.213 -6.672 -1.849
H 6.314 -10.467 4.596
C 6.162 -10.716 -1.383
Ag -0.416 -3.764 -0.509
H 4.272 -10.016 1.482
C 3.230 -9.700 1.639

***

Entry 8:
12
Lattice="3.122 0.000 0.000 -1.561 2.704 0.000 0.000 0.000 18.226" Properties=species:S:1:pos:R:3 comment="GGA-PBE Mo3AuN2, optimized geometry" final_energy_ev_per_cell=-104.16 pbc="T T T"
Au 0.000 0.000 13.669
N 0.000 1.802 7.865
Au 0.000 0.000 4.556
Mo 0.000 1.802 15.940
Mo 0.000 0.000 9.113
N 0.000 1.802 1.248
Mo 0.000 0.000 0.000
N 1.561 0.901 10.361
Mo 1.561 0.901 2.286
N 1.561 0.901 16.978
Mo 0.000 1.802 11.399
Mo 1.561 0.901 6.827

***

Entry 9:
8
Lattice="-1.528 3.042 -0.399 -1.371 -2.806 -1.414 -7.718 -2.297 12.042" Properties=species:S:1:pos:R:3 comment="GGA-PBE Lu4SiPbN2, optimized geometry" final_energy_ev_per_cell=-52.83 pbc="T T T"
Pb -5.282 -2.005 4.945
Lu -3.985 0.346 3.178
N -1.855 -0.552 2.895
N -5.862 -1.745 9.147
Lu -8.000 -2.814 9.185
Si -1.476 1.093 -0.737
Lu -2.565 -1.196 0.706
Lu -6.684 -0.457 7.389

***

Entry 10:
26
Lattice="-0.823 9.063 4.316 0.703 3.924 9.249 5.962 6.474 4.899" Properties=species:S:1:pos:R:3 comment="GGA-PBE YAl9Ni3, optimized geometry" final_energy_ev_per_cell=-127.46 pbc="T T T"
Al 1.444 8.198 4.510
Al 2.603 10.802 8.203
Al 1.824 9.199 10.139
Al 3.027 6.714 9.605
Al 0.193 5.642 7.601
Al 0.287 9.263 7.785
Ni 0.657 7.273 9.199
Al 2.258 7.524 7.139
Al 0.301 1.003 0.952
Ni 1.612 10.457 12.220
Al 5.540 18.458 17.512
Al 4.193 13.970 13.254
Ni 4.747 7.259 7.919
Ni 2.881 13.068 9.067
Al 1.648 5.491 5.210
Ni 5.702 10.443 10.941
Al 4.335 9.191 9.353
Al 5.051 11.893 9.052
Al 4.258 9.249 6.543
Y 0.974 3.246 3.080
Ni 1.924 9.884 6.046
Al 3.583 11.937 11.325
Al 4.204 5.622 6.353
Al 1.080 11.906 10.294
Y 4.867 16.215 15.384
Al 3.821 9.358 12.113

***

Entry 11:
3
Lattice="0.299 -0.221 3.880 0.813 3.196 2.077 -2.740 1.605 2.260" Properties=species:S:1:pos:R:3 comment="GGA-PBE CoSiTc, optimized geometry" final_energy_ev_per_cell=-23.16 pbc="T T T"
Si -0.407 1.145 2.054
Tc -1.221 3.436 6.162
Co 0.000 0.000 0.000

***

Entry 12:
12
Lattice="-7.108 -2.683 -2.625 6.682 -0.541 4.434 -4.898 5.141 8.009" Properties=species:S:1:pos:R:3 comment="GGA-PBE NbTlAgTeSe2, optimized geometry" final_energy_ev_per_cell=-54.86 pbc="T T T"
Ag 2.298 3.204 10.077
Te -2.745 2.421 7.496
Ag -7.622 -1.287 -0.259
Se 0.287 4.181 11.344
Nb -0.213 -1.612 0.905
Te -2.578 -0.504 2.323
Nb -2.662 0.959 4.909
Se -7.749 -0.018 1.973
Tl 1.737 0.166 4.532
Tl -7.061 1.751 5.287
Se 2.426 1.936 7.846
Se -5.610 -2.263 -1.525

***

Question: Which formula does entry 3 have?
Answer: NaHfAgSe3